(1)
VASP calculation (GGA-PBE) on a relaxed structure of LiGeSb3.

Computed properties:
VASP energy (eV per atom): -3.305
Polymorph energy (0 for the lowest one) (meV per atom): 23.7
Uncorrected formation energy (eV per atom): 0.475

```
data_LiGeSb3
_chemical_formula_sum 'Li1 Ge1 Sb3'
_cell_length_a 5.422
_cell_length_b 5.422
_cell_length_c 5.422
_cell_angle_alpha 90.00
_cell_angle_beta 90.00
_cell_angle_gamma 90.00
_symmetry_space_group_name_H-M 'P m -3 m'
_symmetry_Int_Tables_number 221
_symmetry_space_group_name_Hall '-P 4 2 3'
loop_
_atom_site_label
_atom_site_type_symbol
_atom_site_fract_x
_atom_site_fract_y
_atom_site_fract_z
Li1 Li 0.000 0.000 0.000
Ge1 Ge 0.500 0.500 0.500
Sb1 Sb 0.000 0.500 0.500
```


(2)
VASP calculation (GGA-PBE) on a relaxed structure of LiGe2Sb2.

Computed properties:
VASP energy (eV per atom): -3.789
Polymorph energy (0 for the lowest one) (meV per atom): 52.1
Uncorrected formation energy (eV per atom): 0.090

```
data_LiGe2Sb2
_chemical_formula_sum 'Li2 Ge4 Sb4'
_cell_length_a 7.959
_cell_length_b 7.959
_cell_length_c 3.819
_cell_angle_alpha 90.00
_cell_angle_beta 90.00
_cell_angle_gamma 90.00
_symmetry_space_group_name_H-M 'P 4/m b m'
_symmetry_Int_Tables_number 127
_symmetry_space_group_name_Hall '-P 4 2ab'
loop_
_atom_site_label
_atom_site_type_symbol
_atom_site_fract_x
_atom_site_fract_y
_atom_site_fract_z
Li1 Li 0.000 0.000 0.000
Ge1 Ge 0.135 0.365 0.500
Sb1 Sb 0.157 0.657 0.000
```


(3)
VASP calculation (GGA-PBE) on a relaxed structure of LiGe2Sb2.

Computed properties:
VASP energy (eV per atom): -3.794
Polymorph energy (0 for the lowest one) (meV per atom): 47.0
Uncorrected formation energy (eV per atom): 0.085

```
data_LiGe2Sb2
_chemical_formula_sum 'Li2 Ge4 Sb4'
_cell_length_a 7.903
_cell_length_b 7.903
_cell_length_c 3.796
_cell_angle_alpha 90.00
_cell_angle_beta 90.00
_cell_angle_gamma 90.00
_symmetry_space_group_name_H-M 'P 4/m b m'
_symmetry_Int_Tables_number 127
_symmetry_space_group_name_Hall '-P 4 2ab'
loop_
_atom_site_label
_atom_site_type_symbol
_atom_site_fract_x
_atom_site_fract_y
_atom_site_fract_z
Li1 Li 0.000 0.000 0.000
Ge1 Ge 0.135 0.365 0.000
Sb1 Sb 0.159 0.659 0.500
```


(4)
VASP calculation (GGA-PBE) on a relaxed structure of Li4Ge2Sb.

Computed properties:
VASP energy (eV per atom): -3.019
Uncorrected formation energy (eV per atom): -0.018

```
data_Li4Ge2Sb
_chemical_formula_sum 'Li8 Ge4 Sb2'
_cell_length_a 5.319
_cell_length_b 5.319
_cell_length_c 12.775
_cell_angle_alpha 90.00
_cell_angle_beta 90.00
_cell_angle_gamma 90.00
_symmetry_space_group_name_H-M 'I 4/m m m'
_symmetry_Int_Tables_number 139
_symmetry_space_group_name_Hall '-I 4 2'
loop_
_atom_site_label
_atom_site_type_symbol
_atom_site_fract_x
_atom_site_fract_y
_atom_site_fract_z
Li1 Li 0.000 0.000 0.208
Li2 Li 0.000 0.500 0.000
Ge1 Ge 0.000 0.000 0.408
Sb1 Sb 0.000 0.000 0.000
```